! Ac2ErWO8, relaxed, DFT PBE+U; values from VASP
&SYSTEM
  ibrav = 0, nat = 12, ntyp = 4
/
ATOMIC_SPECIES
O 16.00 O.upf
Ac 227.00 Ac.upf
W 183.84 W.upf
Er 167.26 Er.upf
ATOMIC_POSITIONS angstrom
O -1.509 0.157 1.200
O 0.145 -1.413 3.899
O -0.854 -4.466 5.537
O 0.843 0.052 7.119
O -2.991 -2.638 2.608
O -2.293 -1.172 5.828
O -0.638 -2.742 8.527
O -1.294 1.880 4.190
Ac -2.018 -0.485 3.570
Ac -0.129 -2.100 6.157
W 0.000 0.000 0.000
Er 1.855 -1.587 2.542
CELL_PARAMETERS angstrom
-1.642 3.710 3.514
-4.217 -3.122 1.129
3.710 -3.173 5.084
! symmetry	P2/m (10)
! V	16.91	A^3/atom
! VASP energy	-7.6961	eV/atom